Entry 1:
The following is a PBE calculation of an optimized crystal structure of SrS2Cl, from Alexandria via LeMat-Bulk.

Cell and atoms, written as POSCAR:
```
SrS2Cl
1.0
4.856 0.000 0.000
0.000 7.410 -3.389
0.000 -0.214 8.145
Sr S Cl
2 4 2
Cartesian
2.428 1.909 1.262
4.856 5.287 3.495
2.679 0.300 6.793
2.176 6.367 -2.386
0.251 6.896 -2.037
4.604 0.829 7.142
1.214 2.750 3.660
3.642 4.445 1.096
```

## Properties
* energy above the most stable polymorph in this dataset: 0 meV per atom
* ΔE_f (raw): -4.71 eV/f.u.
* SG: C222_1, No. 20
* total magnetic moment: 0.00 μB/cell

=====

Entry 2:
The following is a PBE calculation of an optimized crystal structure of Ce2ErNi, from Alexandria via LeMat-Bulk.

Cell and atoms, written as POSCAR:
```
Ce2ErNi
1.0
3.607 0.000 0.000
1.803 3.124 0.000
1.803 1.041 9.258
Ni Er Ce
1 1 2
Cartesian
0.000 0.000 0.000
3.607 2.082 4.629
5.410 3.124 7.461
1.803 1.041 1.797
```

## Properties
* energy above the most stable polymorph in this dataset: 45 meV per atom
* formation enthalpy at 0 K: -0.06 eV per formula unit
* SG: R-3m, No. 166
* total magnetic moment: 0.83 μB/cell

=====

Entry 3:
The following is a PBE calculation of an optimized crystal structure of ErCd4Pt2, from Alexandria via LeMat-Bulk.

Cell and atoms, written as POSCAR:
```
ErCd4Pt2
1.0
3.734 0.000 0.000
0.000 4.216 -0.929
0.000 -0.124 9.467
Cd Pt Er
4 2 1
Cartesian
1.867 3.434 5.553
1.867 0.658 2.985
0.000 2.861 2.953
0.000 1.231 5.585
1.867 2.386 0.796
1.867 1.706 7.743
0.000 0.000 0.000
```

## Properties
* formation enthalpy at 0 K: -3.12 eV per formula unit
* SG: Cmmm, No. 65
* total magnetic moment: 0.00 μB/cell

=====

Entry 4:
The following is a PBE calculation of an optimized crystal structure of K3AcS2O8, from Alexandria via LeMat-Bulk.

Cell and atoms, written as POSCAR:
```
K3AcS2O8
1.0
6.154 0.000 0.000
-3.077 5.329 0.000
0.000 0.000 7.968
K O S Ac
3 8 2 1
Cartesian
0.000 3.553 6.048
3.077 1.776 1.920
0.000 0.000 0.000
4.497 0.956 5.571
1.420 4.373 2.397
0.000 3.553 0.620
3.077 3.417 5.571
3.077 1.776 7.348
0.000 1.913 2.397
-1.420 4.373 2.397
1.657 0.956 5.571
0.000 3.553 2.117
3.077 1.776 5.851
0.000 0.000 3.984
```

## Properties
* ΔE_f (raw): -23.05 eV/f.u.
* SG: P-3m1, No. 164
* total magnetic moment: 1.78 μB/cell

=====

Number 1: energy -32.99 eV/cell, Fermi-level density of states 0.19 states/eV/f.u.. Number 2: energy -22.27 eV/cell, Fermi-level density of states 8.46 states/eV/f.u.. Number 3: energy -23.42 eV/cell, Fermi-level density of states 2.83 states/eV/f.u.. Number 4: energy -78.37 eV/cell, Fermi-level density of states 3.80 states/eV/f.u..